Record 1
Crystalline SnHg2Pb4 at its relaxed geometry. Source: the Alexandria database, functional PBE.

POSCAR file:
```
SnHg2Pb4
1.0
4.730 0.000 0.000
0.000 8.968 0.000
0.000 0.000 10.090
Pb Hg Sn
8 4 2
Direct
0.000 0.250 0.250 Pb
0.000 0.750 0.250 Pb
0.500 0.787 0.000 Pb
0.500 0.287 0.500 Pb
0.500 0.713 0.500 Pb
0.000 0.250 0.750 Pb
0.000 0.750 0.750 Pb
0.500 0.213 0.000 Pb
0.500 0.500 0.769 Hg
0.500 0.500 0.231 Hg
0.500 0.000 0.731 Hg
0.500 0.000 0.269 Hg
0.000 0.500 0.000 Sn
0.000 0.000 0.500 Sn
```

Polymorph energy (0 for the lowest one)   0 meV per atom
Symmetry   Cmmm, No. 65

***

Record 2
Crystalline Cd4CuO5 at its relaxed geometry. Source: the Alexandria database, functional PBE.

POSCAR file:
```
Cd4CuO5
1.0
4.780 0.000 0.000
2.390 5.198 0.000
2.390 0.000 5.198
Cd O Cu
4 5 1
Direct
0.403 0.395 0.802 Cd
0.600 0.605 0.198 Cd
0.798 0.802 0.605 Cd
0.205 0.198 0.395 Cd
0.499 0.000 0.000 O
0.723 0.193 0.363 O
0.916 0.363 0.807 O
0.086 0.637 0.193 O
0.279 0.807 0.637 O
0.002 0.000 0.000 Cu
```

Symmetry   I4, No. 79
Formation energy without anion corrections   -844 meV/atom

***

Record 3
Crystalline Sm2YSb3Rh4 at its relaxed geometry. Source: the Alexandria database, functional PBE.

POSCAR file:
```
Sm2YSb3Rh4
1.0
-2.832 -3.211 0.822
2.907 -2.926 -1.412
4.218 -0.979 10.716
Rh Y Sm Sb
4 1 2 3
Direct
0.500 0.000 0.648 Rh
0.500 0.500 0.000 Rh
0.000 0.500 0.352 Rh
0.000 0.000 0.000 Rh
0.500 0.500 0.500 Y
0.000 0.500 0.775 Sm
0.500 0.000 0.225 Sm
0.000 0.000 0.500 Sb
0.000 0.500 0.131 Sb
0.500 0.000 0.869 Sb
```

Symmetry   P-4m2, No. 115
Formation energy without anion corrections   -841 meV/atom